Li2CrBr | PBE-GGA | optimized geometry

Cell and atoms, written as extended XYZ:
```
8
Lattice="3.2880 0.0000 0.0000 0.0000 5.3713 0.0000 0.0000 0.0000 9.6099" Properties=species:S:1:pos:R:3 pbc="T T T"
Li 0.0000 0.0000 1.9951
Li 0.0000 0.0000 7.6149
Li 1.6440 2.6857 2.8099
Li 1.6440 2.6857 6.8000
Cr 0.0000 2.6857 0.0000
Cr 1.6440 0.0000 4.8050
Br 0.0000 2.6857 4.8050
Br 1.6440 0.0000 0.0000
```

Uncorrected formation energy, meV/atom: 104
Magnetic moment, μB/f.u.: 4.474
Calculated volume, Å³/atom: 21.2
D(E_F), states/eV/cell: 3.98
Total energy, eV/atom: -3.6773

---

RbNiPb2 | PBE-GGA | optimized geometry

Cell and atoms, written as extended XYZ:
```
16
Lattice="7.5705 0.0000 0.0000 0.0000 7.5705 0.0000 0.0000 0.0000 7.5705" Properties=species:S:1:pos:R:3 pbc="T T T"
Rb 0.0000 0.0000 0.0000
Rb 0.0000 3.7852 3.7852
Rb 3.7852 0.0000 3.7852
Rb 3.7852 3.7852 0.0000
Ni 0.0000 0.0000 3.7852
Ni 0.0000 3.7852 0.0000
Ni 3.7852 0.0000 0.0000
Ni 3.7852 3.7852 3.7852
Pb 1.8926 1.8926 1.8926
Pb 1.8926 1.8926 5.6779
Pb 1.8926 5.6779 1.8926
Pb 1.8926 5.6779 5.6779
Pb 5.6779 1.8926 1.8926
Pb 5.6779 1.8926 5.6779
Pb 5.6779 5.6779 1.8926
Pb 5.6779 5.6779 5.6779
```

Magnetic moment, μB/f.u.: 0.000
Calculated volume, Å³/atom: 27.1
D(E_F), states/eV/cell: 21.62
Total energy, eV/atom: -3.0409
ΔH_f (0 K), kJ/mol of formula units: 193

---

GaHPd3 | PBE-GGA | optimized geometry

Cell and atoms, written as extended XYZ:
```
10
Lattice="-2.6226 2.6226 5.0194 2.6226 -2.6226 5.0194 2.6226 2.6226 -5.0194" Properties=species:S:1:pos:R:3 pbc="T T T"
Ga 0.0000 0.0000 1.4597
Ga 0.0000 0.0000 8.5790
H 0.0000 0.0000 5.0194
H 0.0000 2.6226 2.5097
Pd 2.6226 0.0000 1.1661
Pd 2.6226 1.3211 -1.3008
Pd 2.6226 0.0000 3.8533
Pd 0.0000 1.3015 3.7185
Pd 1.3211 2.6226 1.3008
Pd 1.3015 0.0000 6.3202
```

Magnetic moment, μB/f.u.: 0.000
Calculated volume, Å³/atom: 13.8
D(E_F), states/eV/cell: 3.67
Total energy, eV/atom: -4.5470

---

DyHfBe2 | PBE-GGA | optimized geometry

Cell and atoms, written as extended XYZ:
```
4
Lattice="3.2619 0.0000 0.0000 0.0000 3.2619 0.0000 0.0000 0.0000 6.4968" Properties=species:S:1:pos:R:3 pbc="T T T"
Dy 0.0000 0.0000 0.0000
Hf 0.0000 0.0000 3.2484
Be 1.6309 1.6309 1.8837
Be 1.6309 1.6309 4.6131
```

Magnetic moment, μB/f.u.: 0.000
Calculated volume, Å³/atom: 17.3
D(E_F), states/eV/cell: 1.58
Total energy, eV/atom: -5.4918
ΔH_f (0 K), kJ/mol of formula units: 4